Entry w
Here is crystalline K2GaGe at its relaxed geometry from Alexandria via LeMat-Bulk. Energies are from PBE.

```
K2GaGe
1.0
4.225 0.000 0.939
2.008 3.717 0.939
0.028 0.017 9.845
K Ga Ge
2 1 1
direct
0.484 0.484 0.549
0.297 0.297 0.110
0.723 0.723 0.830
0.057 0.057 0.828
```

## Properties
Fermi-level density of states = 1.68 states/eV per cell
Spin magnetization = 0.00 μB/cell
Space group = R3m (160)

***

Entry x
Here is crystalline K2GaGe at its relaxed geometry from Alexandria via LeMat-Bulk. Energies are from PBE.

```
K2GaGe
1.0
4.622 0.000 0.000
0.000 4.622 0.000
2.311 2.311 11.773
Ge K Ga
2 4 2
direct
0.000 0.000 0.000
0.750 0.250 0.500
0.625 0.125 0.250
0.125 0.625 0.250
0.375 0.375 0.750
0.875 0.875 0.750
0.500 0.500 0.000
0.250 0.750 0.500
```

## Properties
Fermi-level density of states = 5.01 states/eV per cell
Spin magnetization = 0.00 μB/cell
Space group = I-42d (122)

***

Entry y
Here is crystalline K2GaGe at its relaxed geometry from Alexandria via LeMat-Bulk. Energies are from PBE.

```
K2GaGe
1.0
0.000 4.009 4.009
4.009 0.000 4.009
4.009 4.009 0.000
Ge K Ga
1 2 1
direct
0.500 0.500 0.500
0.250 0.250 0.250
0.750 0.750 0.750
0.000 0.000 0.000
```

## Properties
Fermi-level density of states = 2.76 states/eV per cell
Spin magnetization = 0.97 μB/cell
Space group = Fm-3m (225)

***

Entry z
Here is crystalline K2GaGe at its relaxed geometry from Alexandria via LeMat-Bulk. Energies are from PBE.

```
K2GaGe
1.0
-4.029 3.713 2.201
-4.295 -1.760 -4.891
-1.236 -4.321 5.027
K Ga Ge
4 2 2
direct
0.750 0.020 0.679
0.250 0.980 0.321
0.250 0.321 0.980
0.750 0.679 0.020
0.000 0.500 0.500
0.500 0.500 0.500
0.750 0.251 0.251
0.250 0.749 0.749
```

## Properties
Fermi-level density of states = 3.84 states/eV per cell
Spin magnetization = 0.00 μB/cell
Space group = Cmcm (63)

***

The most stable of them is entry w.

***

Entry w
Here is crystalline KGaGe3 at its relaxed geometry from Alexandria via LeMat-Bulk. Energies are from PBE.

```
KGaGe3
1.0
-3.631 -0.943 3.355
-3.483 -0.488 -3.599
0.720 -4.971 -0.310
K Ga Ge
1 1 3
direct
0.352 0.352 0.352
0.736 0.736 0.736
0.240 0.864 0.864
0.864 0.864 0.240
0.864 0.240 0.864
```

## Properties
Fermi-level density of states = 1.59 states/eV per cell
Spin magnetization = 0.00 μB/cell
Space group = R3m (160)

***

Entry x
Here is crystalline KGaGe3 at its relaxed geometry from Alexandria via LeMat-Bulk. Energies are from PBE.

```
KGaGe3
1.0
5.561 0.000 0.000
0.000 5.561 0.000
0.000 0.000 5.561
Ge K Ga
3 1 1
direct
0.000 0.500 0.000
0.000 0.000 0.500
0.500 0.000 0.000
0.000 0.000 0.000
0.500 0.500 0.500
```

## Properties
Fermi-level density of states = 3.52 states/eV per cell
Spin magnetization = 0.00 μB/cell
Space group = Pm-3m (221)

***

The most stable of them is entry w.

***

Entry w
Here is crystalline KGa4Ge2 at its relaxed geometry from Alexandria via LeMat-Bulk. Energies are from PBE.

```
KGa4Ge2
1.0
4.697 0.000 0.000
0.000 4.856 0.000
0.000 -2.428 7.058
K Ga Ge
1 4 2
direct
0.000 0.000 0.000
0.500 0.813 0.626
0.000 0.703 0.407
0.500 0.187 0.374
0.000 0.297 0.593
0.500 0.607 0.213
0.500 0.393 0.787
```

## Properties
Fermi-level density of states = 2.35 states/eV per cell
Spin magnetization = 0.00 μB/cell
Space group = Cmmm (65)

***

Entry x
Here is crystalline KGa4Ge2 at its relaxed geometry from Alexandria via LeMat-Bulk. Energies are from PBE.

```
KGa4Ge2
1.0
-4.210 -2.084 0.472
-0.487 -3.714 2.875
-3.451 3.351 7.621
K Ge Ga
1 2 4
direct
0.000 0.000 0.000
0.245 0.245 0.266
0.755 0.755 0.734
0.444 0.444 0.668
0.140 0.140 0.579
0.556 0.556 0.332
0.860 0.860 0.421
```

## Properties
Fermi-level density of states = 4.59 states/eV per cell
Spin magnetization = 0.00 μB/cell
Space group = R-3m (166)

***

The most stable of them is entry w.

***

Entry w
Here is crystalline KMgGaGe2 at its relaxed geometry from Alexandria via LeMat-Bulk. Energies are from PBE.

```
KMgGaGe2
1.0
4.626 0.000 0.000
0.000 4.626 0.000
-2.313 -2.313 5.508
K Mg Ga Ge
1 1 1 2
direct
0.000 0.000 0.000
0.750 0.250 0.500
0.250 0.750 0.500
0.616 0.616 0.232
0.384 0.384 0.768
```

## Properties
Fermi-level density of states = 1.66 states/eV per cell
Spin magnetization = 0.00 μB/cell
Space group = I-4m2 (119)

***

Entry x
Here is crystalline KMgGaGe2 at its relaxed geometry from Alexandria via LeMat-Bulk. Energies are from PBE.

```
KMgGaGe2
1.0
-1.440 4.854 0.200
-3.154 -0.736 -4.848
-4.010 -1.306 2.808
Mg Ge K Ga
1 2 1 1
direct
0.500 0.500 0.500
0.000 0.000 0.500
0.500 0.000 0.000
0.000 0.500 0.000
0.000 0.000 0.000
```

## Properties
Fermi-level density of states = 2.00 states/eV per cell
Spin magnetization = 0.00 μB/cell
Space group = P4/mmm (123)

***

The most stable of them is entry w.

***

Entry w
Here is crystalline KGa2ReGe at its relaxed geometry from Alexandria via LeMat-Bulk. Energies are from PBE.

```
KGa2ReGe
1.0
-0.083 4.660 -1.953
-5.689 0.551 1.556
1.406 1.897 4.468
Re Ge K Ga
1 1 1 2
direct
0.500 0.500 0.500
0.000 0.000 0.000
0.000 0.500 0.000
0.000 0.000 0.500
0.500 0.000 0.000
```

## Properties
Fermi-level density of states = 3.42 states/eV per cell
Spin magnetization = 4.15 μB/cell
Space group = P4/mmm (123)

***

Entry x
Here is crystalline KGa2ReGe at its relaxed geometry from Alexandria via LeMat-Bulk. Energies are from PBE.

```
KGa2ReGe
1.0
4.963 0.000 0.000
0.000 4.963 0.000
0.000 0.000 4.839
Re Ge K Ga
1 1 1 2
direct
0.000 0.000 0.000
0.000 0.000 0.500
0.500 0.500 0.500
0.000 0.500 0.000
0.500 0.000 0.000
```

## Properties
Fermi-level density of states = 0.68 states/eV per cell
Spin magnetization = 0.00 μB/cell
Space group = P4/mmm (123)

***

The most stable of them is entry x.